Cu2Hg3, PBEsol geometry, DFT meta-GGA SCAN; total magnetic moment = 0.00 Bohr magnetons per cell; SG = I4/mmm, No. 139; DOS at the Fermi energy = 0.288 states/eV/atom; uncorrected energy = -467.8 eV/cell; energy of formation from the pure elements = 201 meV per atom
1.0
3.0786 0.0000 0.0000
0.0000 3.0786 0.0000
0.0000 0.0000 18.0117
Cu Hg
4 6
direct
0.0000 0.0000 0.0924
0.0000 0.0000 0.9076
0.5000 0.5000 0.4076
0.5000 0.5000 0.5924
0.0000 0.0000 0.3139
0.0000 0.0000 0.5000
0.0000 0.0000 0.6861
0.5000 0.5000 0.0000
0.5000 0.5000 0.1861
0.5000 0.5000 0.8139


LiRh3, PBEsol geometry, DFT meta-GGA SCAN; total magnetic moment = 0.00 Bohr magnetons per cell; SG = Pmm2, No. 25; DOS at the Fermi energy = 1.095 states/eV/atom; uncorrected energy = -104.0 eV/cell; energy of formation from the pure elements = -80 meV per atom
1.0
2.6509 0.0000 0.0000
0.0000 4.2920 0.0000
0.0000 0.0000 4.5791
Li Rh
1 3
direct
0.0000 0.0000 0.0000
0.0000 0.5000 0.3259
0.5000 0.0000 0.5045
0.5000 0.5000 0.8324


CoCu2W, PBEsol geometry, DFT meta-GGA SCAN; total magnetic moment = 5.26 Bohr magnetons per cell; SG = Fm-3m, No. 225; DOS at the Fermi energy = 0.604 states/eV/atom; uncorrected energy = -461.4 eV/cell; energy of formation from the pure elements = 508 meV per atom; excess energy over the best structure of this formula in the dataset = 174 meV/atom
1.0
5.7697 0.0000 0.0000
0.0000 5.7697 0.0000
0.0000 0.0000 5.7697
Co Cu W
4 8 4
direct
0.0000 0.0000 0.0000
0.0000 0.5000 0.5000
0.5000 0.0000 0.5000
0.5000 0.5000 0.0000
0.2500 0.2500 0.2500
0.2500 0.2500 0.7500
0.2500 0.7500 0.2500
0.2500 0.7500 0.7500
0.7500 0.2500 0.2500
0.7500 0.2500 0.7500
0.7500 0.7500 0.2500
0.7500 0.7500 0.7500
0.0000 0.0000 0.5000
0.0000 0.5000 0.0000
0.5000 0.0000 0.0000
0.5000 0.5000 0.5000


Al2ReSe, PBEsol geometry, DFT meta-GGA SCAN; total magnetic moment = 0.00 Bohr magnetons per cell; SG = Immm, No. 71; ΔE_f (raw) = 0.15 eV/atom; DOS at the Fermi energy = 0.620 states/eV/atom; uncorrected energy = -212.2 eV/cell
1.0
3.2421 0.0000 0.0000
0.0000 4.5070 0.0000
0.0000 0.0000 8.2589
Al Re Se
4 2 2
direct
0.0000 0.0000 0.2486
0.0000 0.0000 0.7514
0.5000 0.5000 0.2514
0.5000 0.5000 0.7486
0.0000 0.5000 0.0000
0.5000 0.0000 0.5000
0.0000 0.5000 0.5000
0.5000 0.0000 0.0000


Li5Cu3F14, PBEsol geometry, DFT meta-GGA SCAN; total magnetic moment = 3.99 Bohr magnetons per cell; SG = P4/mnc, No. 128; ΔE_f (raw) = -2.29 eV/atom; uncorrected energy = -314.9 eV/cell
1.0
6.9212 0.0000 0.0000
0.0000 6.9212 0.0000
0.0000 0.0000 9.4567
Li Cu F
10 6 28
direct
0.0000 0.0000 0.0000
0.2306 0.2694 0.2500
0.2306 0.2694 0.7500
0.2694 0.7694 0.2500
0.2694 0.7694 0.7500
0.5000 0.5000 0.5000
0.7306 0.2306 0.2500
0.7306 0.2306 0.7500
0.7694 0.7306 0.2500
0.7694 0.7306 0.7500
0.0000 0.0000 0.5000
0.0000 0.5000 0.0000
0.0000 0.5000 0.5000
0.5000 0.0000 0.0000
0.5000 0.0000 0.5000
0.5000 0.5000 0.0000
0.0000 0.0000 0.3044
0.0000 0.0000 0.6956
0.0348 0.6998 0.1371
0.0348 0.6998 0.8629
0.0981 0.2483 0.5000
0.1998 0.5348 0.3629
0.1998 0.5348 0.6371
0.2483 0.9019 0.5000
0.2517 0.4019 0.0000
0.3002 0.0348 0.1371
0.3002 0.0348 0.8629
0.4019 0.7483 0.0000
0.4652 0.1998 0.3629
0.4652 0.1998 0.6371
0.5000 0.5000 0.1956
0.5000 0.5000 0.8044
0.5348 0.8002 0.3629
0.5348 0.8002 0.6371
0.5981 0.2517 0.0000
0.6998 0.9652 0.1371
0.6998 0.9652 0.8629
0.7483 0.5981 0.0000
0.7517 0.0981 0.5000
0.8002 0.4652 0.3629
0.8002 0.4652 0.6371
0.9019 0.7517 0.5000
0.9652 0.3002 0.1371
0.9652 0.3002 0.8629


TeRhW, PBEsol geometry, DFT meta-GGA SCAN; total magnetic moment = 0.00 Bohr magnetons per cell; SG = I4mm, No. 107; ΔE_f (raw) = 0.41 eV/atom; DOS at the Fermi energy = 0.836 states/eV/atom; uncorrected energy = -279.0 eV/cell; excess energy over the best structure of this formula in the dataset = 0 meV/atom
1.0
3.0962 0.0000 0.0000
0.0000 3.0962 0.0000
0.0000 0.0000 10.6886
Te Rh W
2 2 2
direct
0.0000 0.0000 0.0000
0.5000 0.5000 0.5000
0.0000 0.0000 0.3148
0.5000 0.5000 0.8148
0.0000 0.0000 0.6690
0.5000 0.5000 0.1690


HfRe3Se, PBEsol geometry, DFT meta-GGA SCAN; total magnetic moment = 0.00 Bohr magnetons per cell; SG = Pm-3m, No. 221; ΔE_f (raw) = 1.19 eV/atom; DOS at the Fermi energy = 0.483 states/eV/atom; uncorrected energy = -290.1 eV/cell
1.0
4.4845 0.0000 0.0000
0.0000 4.4845 0.0000
0.0000 0.0000 4.4845
Hf Re Se
1 3 1
direct
0.0000 0.0000 0.0000
0.0000 0.5000 0.5000
0.5000 0.0000 0.5000
0.5000 0.5000 0.0000
0.5000 0.5000 0.5000


CaRuPt2, PBEsol geometry, DFT meta-GGA SCAN; total magnetic moment = 0.00 Bohr magnetons per cell; SG = Cmmm, No. 65; DOS at the Fermi energy = 0.746 states/eV/atom; uncorrected energy = -372.3 eV/cell; energy of formation from the pure elements = -322 meV per atom; excess energy over the best structure of this formula in the dataset = 0 meV/atom
1.0
5.6966 0.0000 0.0000
0.0000 7.9620 0.0000
0.0000 0.0000 2.7878
Ca Ru Pt
2 2 4
direct
0.0000 0.0000 0.0000
0.5000 0.5000 0.0000
0.0000 0.5000 0.0000
0.5000 0.0000 0.0000
0.2500 0.2500 0.5000
0.2500 0.7500 0.5000
0.7500 0.2500 0.5000
0.7500 0.7500 0.5000


NaTaTc2Pb, PBEsol geometry, DFT meta-GGA SCAN; total magnetic moment = 3.18 Bohr magnetons per cell; SG = P4/mmm, No. 123; DOS at the Fermi energy = 0.526 states/eV/atom; uncorrected energy = -205.7 eV/cell; energy of formation from the pure elements = 2194 meV per atom
1.0
4.5281 0.0000 0.0000
0.0000 4.5281 0.0000
0.0000 0.0000 4.6516
Na Ta Tc Pb
1 1 2 1
direct
0.0000 0.0000 0.0000
0.5000 0.5000 0.5000
0.0000 0.5000 0.0000
0.5000 0.0000 0.0000
0.0000 0.0000 0.5000


MnReAs, PBEsol geometry, DFT meta-GGA SCAN; total magnetic moment = 0.00 Bohr magnetons per cell; SG = F-43m, No. 216; DOS at the Fermi energy = 0.508 states/eV/atom; uncorrected energy = -437.8 eV/cell; energy of formation from the pure elements = 34 meV per atom; excess energy over the best structure of this formula in the dataset = 0 meV/atom
1.0
5.5675 0.0000 0.0000
0.0000 5.5675 0.0000
0.0000 0.0000 5.5675
Mn Re As
4 4 4
direct
0.0000 0.0000 0.0000
0.0000 0.5000 0.5000
0.5000 0.0000 0.5000
0.5000 0.5000 0.0000
0.2500 0.2500 0.7500
0.2500 0.7500 0.2500
0.7500 0.2500 0.2500
0.7500 0.7500 0.7500
0.2500 0.2500 0.2500
0.2500 0.7500 0.7500
0.7500 0.2500 0.7500
0.7500 0.7500 0.2500


SrYAg2, PBEsol geometry, DFT meta-GGA SCAN; total magnetic moment = 0.00 Bohr magnetons per cell; SG = Fm-3m, No. 225; DOS at the Fermi energy = 0.765 states/eV/atom; uncorrected energy = -455.5 eV/cell; energy of formation from the pure elements = -253 meV per atom; excess energy over the best structure of this formula in the dataset = 39 meV/atom
1.0
7.3754 0.0000 0.0000
0.0000 7.3754 0.0000
0.0000 0.0000 7.3754
Sr Y Ag
4 4 8
direct
0.0000 0.0000 0.0000
0.0000 0.5000 0.5000
0.5000 0.0000 0.5000
0.5000 0.5000 0.0000
0.0000 0.0000 0.5000
0.0000 0.5000 0.0000
0.5000 0.0000 0.0000
0.5000 0.5000 0.5000
0.2500 0.2500 0.2500
0.2500 0.2500 0.7500
0.2500 0.7500 0.2500
0.2500 0.7500 0.7500
0.7500 0.2500 0.2500
0.7500 0.2500 0.7500
0.7500 0.7500 0.2500
0.7500 0.7500 0.7500


NaZnP2HO7, PBEsol geometry, DFT meta-GGA SCAN; total magnetic moment = 0.00 Bohr magnetons per cell; SG = P-1, No. 2; DOS at the Fermi energy = 0.000 states/eV/atom; uncorrected energy = -223.9 eV/cell
1.0
6.5040 0.0000 0.0000
0.2490 6.5207 0.0000
0.6913 2.6005 6.1068
Na Zn P H O
2 2 4 2 14
direct
0.1633 0.3116 0.2384
0.8367 0.6884 0.7616
0.3536 0.7196 0.3786
0.6464 0.2804 0.6214
0.1425 0.2607 0.7171
0.3763 0.8336 0.8638
0.6237 0.1664 0.1362
0.8575 0.7393 0.2829
0.2071 0.5646 0.7991
0.7929 0.4354 0.2009
0.0377 0.7624 0.3999
0.0940 0.3852 0.8696
0.2066 0.0148 0.8761
0.2935 0.7259 0.7157
0.3324 0.3636 0.5515
0.3772 0.6628 0.0963
0.4212 0.0487 0.2457
0.5788 0.9513 0.7543
0.6228 0.3372 0.9037
0.6676 0.6364 0.4485
0.7065 0.2741 0.2843
0.7934 0.9852 0.1239
0.9060 0.6148 0.1304
0.9623 0.2376 0.6001


ScHBr2, PBEsol geometry, DFT meta-GGA SCAN; total magnetic moment = 0.00 Bohr magnetons per cell; SG = Fm-3m, No. 225; uncorrected energy = -236.6 eV/cell
1.0
6.5467 0.0000 0.0000
0.0000 6.5467 0.0000
0.0000 0.0000 6.5467
Sc H Br
4 4 8
direct
0.0000 0.0000 0.0000
0.0000 0.5000 0.5000
0.5000 0.0000 0.5000
0.5000 0.5000 0.0000
0.0000 0.0000 0.5000
0.0000 0.5000 0.0000
0.5000 0.0000 0.0000
0.5000 0.5000 0.5000
0.2500 0.2500 0.2500
0.2500 0.2500 0.7500
0.2500 0.7500 0.2500
0.2500 0.7500 0.7500
0.7500 0.2500 0.2500
0.7500 0.2500 0.7500
0.7500 0.7500 0.2500
0.7500 0.7500 0.7500


SrY3Sc, PBEsol geometry, DFT meta-GGA SCAN; total magnetic moment = 0.27 Bohr magnetons per cell; SG = Pm-3m, No. 221; DOS at the Fermi energy = 1.223 states/eV/atom; uncorrected energy = -114.5 eV/cell; energy of formation from the pure elements = 1114 meV per atom
1.0
5.4929 0.0000 0.0000
0.0000 5.4929 0.0000
0.0000 0.0000 5.4929
Sr Y Sc
1 3 1
direct
0.0000 0.0000 0.0000
0.0000 0.0000 0.5000
0.0000 0.5000 0.0000
0.5000 0.0000 0.0000
0.5000 0.5000 0.5000


SmHoRu2, PBEsol geometry, DFT meta-GGA SCAN; total magnetic moment = 0.00 Bohr magnetons per cell; SG = Fm-3m, No. 225; DOS at the Fermi energy = 0.510 states/eV/atom; uncorrected energy = -657.9 eV/cell; energy of formation from the pure elements = -348 meV per atom
1.0
6.7354 0.0000 0.0000
0.0000 6.7354 0.0000
0.0000 0.0000 6.7354
Sm Ho Ru
4 4 8
direct
0.0000 0.0000 0.0000
0.0000 0.5000 0.5000
0.5000 0.0000 0.5000
0.5000 0.5000 0.0000
0.0000 0.0000 0.5000
0.0000 0.5000 0.0000
0.5000 0.0000 0.0000
0.5000 0.5000 0.5000
0.2500 0.2500 0.2500
0.2500 0.2500 0.7500
0.2500 0.7500 0.2500
0.2500 0.7500 0.7500
0.7500 0.2500 0.2500
0.7500 0.2500 0.7500
0.7500 0.7500 0.2500
0.7500 0.7500 0.7500


AgGeP3, PBEsol geometry, DFT meta-GGA SCAN; total magnetic moment = 0.00 Bohr magnetons per cell; SG = Pm-3m, No. 221; DOS at the Fermi energy = 0.766 states/eV/atom; uncorrected energy = -75.8 eV/cell; energy of formation from the pure elements = 1167 meV per atom
1.0
4.6394 0.0000 0.0000
0.0000 4.6394 0.0000
0.0000 0.0000 4.6394
Ag Ge P
1 1 3
direct
0.0000 0.0000 0.0000
0.5000 0.5000 0.5000
0.0000 0.5000 0.5000
0.5000 0.0000 0.5000
0.5000 0.5000 0.0000


BaMnPS2, PBEsol geometry, DFT meta-GGA SCAN; total magnetic moment = 2.61 Bohr magnetons per cell; SG = P4/mmm, No. 123; ΔE_f (raw) = -0.98 eV/atom; DOS at the Fermi energy = 0.303 states/eV/atom; uncorrected energy = -92.4 eV/cell
1.0
4.8320 0.0000 0.0000
0.0000 4.8320 0.0000
0.0000 0.0000 4.3866
Ba Mn P S
1 1 1 2
direct
0.0000 0.0000 0.0000
0.5000 0.5000 0.5000
0.5000 0.5000 0.0000
0.0000 0.5000 0.5000
0.5000 0.0000 0.5000


Cd2InAg, PBEsol geometry, DFT meta-GGA SCAN; total magnetic moment = 0.00 Bohr magnetons per cell; SG = Cmmm, No. 65; DOS at the Fermi energy = 0.252 states/eV/atom; uncorrected energy = -251.0 eV/cell; energy of formation from the pure elements = 26 meV per atom
1.0
5.7188 0.0000 0.0000
0.0000 8.1450 0.0000
0.0000 0.0000 3.5374
Cd In Ag
4 2 2
direct
0.2500 0.2500 0.0000
0.2500 0.7500 0.0000
0.7500 0.2500 0.0000
0.7500 0.7500 0.0000
0.0000 0.0000 0.5000
0.5000 0.5000 0.5000
0.0000 0.5000 0.5000
0.5000 0.0000 0.5000


Mn2ZnIn, PBEsol geometry, DFT meta-GGA SCAN; total magnetic moment = 0.45 Bohr magnetons per cell; SG = P4mm, No. 99; DOS at the Fermi energy = 0.769 states/eV/atom; uncorrected energy = -83.0 eV/cell; energy of formation from the pure elements = 102 meV per atom
1.0
2.7916 0.0000 0.0000
0.0000 2.7916 0.0000
0.0000 0.0000 7.2029
Mn Zn In
2 1 1
direct
0.0000 0.0000 0.0000
0.5000 0.5000 0.1698
0.0000 0.0000 0.4004
0.5000 0.5000 0.7268


CuSi2Ni, PBEsol geometry, DFT meta-GGA SCAN; total magnetic moment = 0.00 Bohr magnetons per cell; SG = Pm, No. 6; ΔE_f (raw) = -0.09 eV/atom; DOS at the Fermi energy = 0.380 states/eV/atom; uncorrected energy = -51.8 eV/cell
1.0
2.7254 0.0000 0.0000
0.0000 4.3267 0.0000
-1.2736 0.0000 4.2345
Cu Si Ni
1 2 1
direct
0.0000 0.0000 0.0000
0.1408 0.5000 0.2596
0.2913 0.0000 0.5541
0.4309 0.5000 0.8161


KInOs2, PBEsol geometry, DFT meta-GGA SCAN; total magnetic moment = 0.00 Bohr magnetons per cell; SG = Cmmm, No. 65; DOS at the Fermi energy = 0.766 states/eV/atom; uncorrected energy = -360.0 eV/cell; energy of formation from the pure elements = 1363 meV per atom
1.0
5.8475 0.0000 0.0000
0.0000 9.5830 0.0000
0.0000 0.0000 2.5933
K In Os
2 2 4
direct
0.0000 0.0000 0.0000
0.5000 0.5000 0.0000
0.0000 0.5000 0.0000
0.5000 0.0000 0.0000
0.2500 0.2500 0.5000
0.2500 0.7500 0.5000
0.7500 0.2500 0.5000
0.7500 0.7500 0.5000


Ga2ReGeO, PBEsol geometry, DFT meta-GGA SCAN; total magnetic moment = 0.00 Bohr magnetons per cell; SG = P4/mmm, No. 123; ΔE_f (raw) = 0.39 eV/atom; DOS at the Fermi energy = 0.709 states/eV/atom; uncorrected energy = -127.2 eV/cell
1.0
4.6561 0.0000 0.0000
0.0000 4.6561 0.0000
0.0000 0.0000 3.7591
Ga Re Ge O
2 1 1 1
direct
0.0000 0.5000 0.0000
0.5000 0.0000 0.0000
0.0000 0.0000 0.5000
0.5000 0.5000 0.5000
0.0000 0.0000 0.0000


CoPt2Pb, PBEsol geometry, DFT meta-GGA SCAN; total magnetic moment = 1.99 Bohr magnetons per cell; SG = Pmm2, No. 25; DOS at the Fermi energy = 0.784 states/eV/atom; uncorrected energy = -232.8 eV/cell; energy of formation from the pure elements = 178 meV per atom
1.0
2.9239 0.0000 0.0000
0.0000 3.6921 0.0000
0.0000 0.0000 6.0552
Co Pt Pb
1 2 1
direct
0.0000 0.0000 0.0000
0.0000 0.0000 0.5703
0.5000 0.5000 0.8248
0.5000 0.5000 0.2923


TaTl2HCl, PBEsol geometry, DFT meta-GGA SCAN; total magnetic moment = 0.00 Bohr magnetons per cell; SG = P4/mmm, No. 123; DOS at the Fermi energy = 0.256 states/eV/atom; uncorrected energy = -221.3 eV/cell
1.0
5.3140 0.0000 0.0000
0.0000 5.3140 0.0000
0.0000 0.0000 3.3843
Ta Tl H Cl
1 2 1 1
direct
0.0000 0.0000 0.0000
0.0000 0.5000 0.5000
0.5000 0.0000 0.5000
0.0000 0.0000 0.5000
0.5000 0.5000 0.0000


K2SrTa, PBEsol geometry, DFT meta-GGA SCAN; total magnetic moment = 0.30 Bohr magnetons per cell; SG = Pm, No. 6; DOS at the Fermi energy = 0.915 states/eV/atom; uncorrected energy = -101.4 eV/cell; energy of formation from the pure elements = 1034 meV per atom; excess energy over the best structure of this formula in the dataset = 0 meV/atom
1.0
3.3818 0.0000 0.0000
0.0000 3.3821 0.0000
-0.0953 0.0000 13.0774
K Sr Ta
2 1 1
direct
0.0000 0.0000 0.0000
0.4930 0.5000 0.3201
0.5054 0.5000 0.7089
0.0002 0.0000 0.5362


TlAgPb2, PBEsol geometry, DFT meta-GGA SCAN; total magnetic moment = 0.00 Bohr magnetons per cell; SG = Imm2, No. 44; DOS at the Fermi energy = 0.410 states/eV/atom; uncorrected energy = -509.7 eV/cell; energy of formation from the pure elements = 111 meV per atom; excess energy over the best structure of this formula in the dataset = 65 meV/atom
1.0
3.5327 0.0000 0.0000
0.0000 5.3290 0.0000
0.0000 0.0000 10.9466
Tl Ag Pb
2 2 4
direct
0.0000 0.0000 0.0000
0.5000 0.5000 0.5000
0.0000 0.5000 0.7205
0.5000 0.0000 0.2205
0.0000 0.0000 0.4419
0.0000 0.5000 0.2218
0.5000 0.0000 0.7218
0.5000 0.5000 0.9419


BeAlP2S, PBEsol geometry, DFT meta-GGA SCAN; total magnetic moment = 0.11 Bohr magnetons per cell; SG = P4/mmm, No. 123; ΔE_f (raw) = 0.95 eV/atom; DOS at the Fermi energy = 0.698 states/eV/atom; uncorrected energy = -37.8 eV/cell
1.0
4.5793 0.0000 0.0000
0.0000 4.5793 0.0000
0.0000 0.0000 4.4875
Be Al P S
1 1 2 1
direct
0.0000 0.0000 0.0000
0.5000 0.5000 0.5000
0.0000 0.5000 0.5000
0.5000 0.0000 0.5000
0.5000 0.5000 0.0000